1.
{"formula": "LaNdCdSn", "functional": "GGA-PBE", "state": "relaxed", "e_tot_ev_per_atom": -4.2058, "m_tot_mub_per_cell": 0.000, "space_group": "F-43m", "density_g_cm3": 7.23, "cell": [[0.000, 3.894, 3.894], [3.894, 0.000, 3.894], [3.894, 3.894, 0.000]], "species": ["La", "Nd", "Cd", "Sn"], "frac_coords": [[0.000, 0.000, 0.000], [0.500, 0.500, 0.500], [0.250, 0.250, 0.250], [0.750, 0.750, 0.750]]}

***

2.
{"formula": "La2NdCd2Sn2", "functional": "GGA-PBE", "state": "relaxed", "e_tot_ev_per_atom": -3.8704, "m_tot_mub_per_cell": 0.000, "space_group": "R-3m", "density_g_cm3": 7.24, "cell": [[2.492, 1.438, 9.426], [-2.492, 1.438, 9.426], [0.000, -2.877, 9.426]], "species": ["La", "La", "Nd", "Cd", "Cd", "Sn", "Sn"], "frac_coords": [[0.133, 0.133, 0.133], [0.867, 0.867, 0.867], [0.000, 0.000, 0.000], [0.413, 0.413, 0.413], [0.587, 0.587, 0.587], [0.268, 0.268, 0.268], [0.732, 0.732, 0.732]]}

***

3.
{"formula": "LaNd2Cd2Sn2", "functional": "GGA-PBE", "state": "relaxed", "e_tot_ev_per_atom": -3.8455, "m_tot_mub_per_cell": 0.001, "space_group": "R-3m", "density_g_cm3": 7.27, "cell": [[2.511, 1.450, 9.303], [-2.511, 1.450, 9.303], [0.000, -2.899, 9.303]], "species": ["La", "Nd", "Nd", "Cd", "Cd", "Sn", "Sn"], "frac_coords": [[0.000, 0.000, 0.000], [0.133, 0.133, 0.133], [0.867, 0.867, 0.867], [0.420, 0.420, 0.420], [0.580, 0.580, 0.580], [0.266, 0.266, 0.266], [0.734, 0.734, 0.734]]}